Material: VAuOF2
Method: DFT, PBE+U
State: optimized geometry

Calculated values
Calculated total energy   -5.228 eV per atom
Crystal system   tetragonal

abc: 4.149 4.149 3.761
angles: 90.00 90.00 90.00
Sites, in units of the cell vectors:
O 0.000 0.000 0.500
V 0.000 0.000 0.000
F 0.500 0.000 0.000
F 0.000 0.500 0.000
Au 0.500 0.500 0.500